A plane-wave DFT calculation with SCAN was carried out for CoNiGe3 at its PBEsol-relaxed geometry.

Results
DOS at the Fermi energy (states/eV per cell): 3.05
Symmetry: Pm-3m
DFT formation energy (meV/atom): 581
Magnetic moment (μB per cell): 1.82

Unit cell a=4.4462 b=4.4462 c=4.4462 alpha=90.00 beta=90.00 gamma=90.00
Positions (direct):
Co1 0.0000 0.0000 0.0000
Ni1 0.5000 0.5000 0.5000
Ge1 0.0000 0.5000 0.5000
Ge2 0.5000 0.0000 0.5000
Ge3 0.5000 0.5000 0.0000

A plane-wave DFT calculation with SCAN was carried out for Co10Ge3O16 at its PBEsol-relaxed geometry.

Results
Uncorrected formation energy (eV per atom): -1.34
DOS at the Fermi energy (states/eV per cell): 6.41
Symmetry: R-3m
Magnetic moment (μB per cell): 30.01

Unit cell a=10.2319 b=10.2319 c=10.2319 alpha=33.14 beta=33.14 gamma=33.14
Positions (direct):
Co1 0.0000 0.0000 0.0000
Co2 0.0000 0.0000 0.5000
Co3 0.0000 0.5000 0.0000
Co4 0.2550 0.2550 0.7323
Co5 0.2550 0.7323 0.2550
Co6 0.2677 0.7450 0.7450
Co7 0.5000 0.0000 0.0000
Co8 0.7323 0.2550 0.2550
Co9 0.7450 0.2677 0.7450
Co10 0.7450 0.7450 0.2677
Ge1 0.3094 0.3094 0.3094
Ge2 0.5000 0.5000 0.5000
Ge3 0.6906 0.6906 0.6906
O1 0.1228 0.1228 0.1228
O2 0.1231 0.1231 0.6261
O3 0.1231 0.6261 0.1231
O4 0.1582 0.6140 0.6140
O5 0.3712 0.3712 0.3712
O6 0.3739 0.8769 0.8769
O7 0.3860 0.3860 0.8418
O8 0.3860 0.8418 0.3860
O9 0.6140 0.1582 0.6140
O10 0.6140 0.6140 0.1582
O11 0.6261 0.1231 0.1231
O12 0.6288 0.6288 0.6288
O13 0.8418 0.3860 0.3860
O14 0.8769 0.3739 0.8769
O15 0.8769 0.8769 0.3739
O16 0.8772 0.8772 0.8772

A plane-wave DFT calculation with SCAN was carried out for CoGeRh2O at its PBEsol-relaxed geometry.

Results
Uncorrected formation energy (eV per atom): 0.24
DOS at the Fermi energy (states/eV per cell): 2.75
Symmetry: P4/mmm
Magnetic moment (μB per cell): 2.40

Unit cell a=4.6528 b=4.6528 c=3.2360 alpha=90.00 beta=90.00 gamma=90.00
Positions (direct):
Co1 0.0000 0.0000 0.0000
Ge1 0.5000 0.5000 0.5000
Rh1 0.0000 0.5000 0.0000
Rh2 0.5000 0.0000 0.0000
O1 0.0000 0.0000 0.5000

A plane-wave DFT calculation with SCAN was carried out for SrCoGe2O6 at its PBEsol-relaxed geometry.

Results
Uncorrected formation energy (eV per atom): -2.05
DOS at the Fermi energy (states/eV per cell): 0.00
Symmetry: C2/c
Magnetic moment (μB per cell): 6.00

Unit cell a=6.9166 b=6.9166 c=5.4118 alpha=102.02 beta=102.02 gamma=83.12
Positions (direct):
Sr1 0.1945 0.8055 0.7500
Sr2 0.8055 0.1945 0.2500
Co1 0.4153 0.5847 0.2500
Co2 0.5847 0.4153 0.7500
Ge1 0.1198 0.3185 0.8012
Ge2 0.3185 0.1198 0.3012
Ge3 0.6815 0.8802 0.6988
Ge4 0.8802 0.6815 0.1988
O1 0.1211 0.5895 0.3026
O2 0.1230 0.1620 0.0280
O3 0.1620 0.1230 0.5280
O4 0.3101 0.4767 0.8705
O5 0.4105 0.8789 0.1974
O6 0.4767 0.3101 0.3705
O7 0.5233 0.6899 0.6295
O8 0.5895 0.1211 0.8026
O9 0.6899 0.5233 0.1295
O10 0.8380 0.8770 0.4720
O11 0.8770 0.8380 0.9720
O12 0.8789 0.4105 0.6974

A plane-wave DFT calculation with SCAN was carried out for ZnCoGe2O6 at its PBEsol-relaxed geometry.

Results
Uncorrected formation energy (eV per atom): -1.62
Symmetry: C2/c
Magnetic moment (μB per cell): 6.00

Unit cell a=6.6065 b=6.6065 c=5.1038 alpha=98.25 beta=98.25 gamma=85.21
Positions (direct):
Zn1 0.2280 0.7720 0.7500
Zn2 0.7720 0.2280 0.2500
Co1 0.4188 0.5812 0.2500
Co2 0.5812 0.4188 0.7500
Ge1 0.1001 0.2959 0.7866
Ge2 0.2959 0.1001 0.2866
Ge3 0.7041 0.8999 0.7134
Ge4 0.8999 0.7041 0.2134
O1 0.0696 0.2054 0.0952
O2 0.1347 0.6329 0.3830
O3 0.2054 0.0696 0.5952
O4 0.2899 0.4751 0.8698
O5 0.3671 0.8653 0.1170
O6 0.4751 0.2899 0.3698
O7 0.5249 0.7101 0.6302
O8 0.6329 0.1347 0.8830
O9 0.7101 0.5249 0.1302
O10 0.7946 0.9304 0.4048
O11 0.8653 0.3671 0.6170
O12 0.9304 0.7946 0.9048

A plane-wave DFT calculation with SCAN was carried out for Co2Ge2Pd at its PBEsol-relaxed geometry.

Results
DOS at the Fermi energy (states/eV per cell): 5.85
Symmetry: P4/mbm
DFT formation energy (meV/atom): -151
Magnetic moment (μB per cell): 0.00

Unit cell a=6.7813 b=6.7813 c=2.7145 alpha=90.00 beta=90.00 gamma=90.00
Positions (direct):
Co1 0.1392 0.3608 0.0000
Co2 0.3608 0.8608 0.0000
Co3 0.6392 0.1392 0.0000
Co4 0.8608 0.6392 0.0000
Ge1 0.1557 0.6557 0.5000
Ge2 0.3443 0.1557 0.5000
Ge3 0.6557 0.8443 0.5000
Ge4 0.8443 0.3443 0.5000
Pd1 0.0000 0.0000 0.5000
Pd2 0.5000 0.5000 0.5000

A plane-wave DFT calculation with SCAN was carried out for CoGePdRu2 at its PBEsol-relaxed geometry.

Results
DOS at the Fermi energy (states/eV per cell): 5.98
Symmetry: P4/mmm
DFT formation energy (meV/atom): 1130
Magnetic moment (μB per cell): 4.60

Unit cell a=4.4339 b=4.4339 c=4.1891 alpha=90.00 beta=90.00 gamma=90.00
Positions (direct):
Co1 0.0000 0.0000 0.0000
Ge1 0.0000 0.0000 0.5000
Pd1 0.5000 0.5000 0.0000
Ru1 0.0000 0.5000 0.5000
Ru2 0.5000 0.0000 0.5000

A plane-wave DFT calculation with SCAN was carried out for Co2GePdW at its PBEsol-relaxed geometry.

Results
DOS at the Fermi energy (states/eV per cell): 5.02
Symmetry: P4/mmm
DFT formation energy (meV/atom): 1614
Magnetic moment (μB per cell): 0.01

Unit cell a=4.3619 b=4.3619 c=4.8230 alpha=90.00 beta=90.00 gamma=90.00
Positions (direct):
Co1 0.0000 0.5000 0.0000
Co2 0.5000 0.0000 0.0000
Ge1 0.0000 0.0000 0.5000
Pd1 0.5000 0.5000 0.5000
W1 0.5000 0.5000 0.0000